w:
The following is a DFT calculation (PBEsol) of a relaxed structure of SrAlF5.

Space-group type: I4, No. 79

Cell: 7.141 10.610 10.610 Å, 83.50 70.34 70.34°
Element x y z (fractional)
F  0.429  0.138  0.650
F  0.913  0.649  0.862
F  0.790  0.840  0.081
F  0.562  0.862  0.351
F  0.995  0.000  0.000
F  0.712  0.160  0.919
F  0.216  0.862  0.350
F  0.880  0.562  0.669
F  0.386  0.544  0.675
F  0.922  0.610  0.189
F  0.740  0.485  0.026
F  0.630  0.081  0.160
F  0.745  0.500  0.500
F  0.567  0.650  0.862
F  0.879  0.189  0.390
F  0.605  0.456  0.325
F  0.930  0.675  0.456
F  0.359  0.919  0.840
F  0.766  0.974  0.485
F  0.245  0.500  0.500
F  0.532  0.189  0.390
F  0.198  0.160  0.919
F  0.442  0.669  0.438
F  0.117  0.081  0.160
F  0.251  0.515  0.974
F  0.068  0.390  0.811
F  0.061  0.325  0.544
F  0.458  0.811  0.610
F  0.872  0.919  0.840
F  0.111  0.438  0.331
F  0.269  0.610  0.189
F  0.721  0.390  0.811
F  0.549  0.331  0.562
F  0.225  0.026  0.515
F  0.424  0.351  0.138
F  0.278  0.840  0.081
F  0.775  0.138  0.649
F  0.079  0.350  0.138
F  0.495  0.000  0.000
F  0.111  0.811  0.610
Sr  0.564  0.684  0.178
Sr  0.772  0.274  0.172
Sr  0.945  0.828  0.274
Sr  0.426  0.316  0.822
Sr  0.219  0.726  0.828
Sr  0.248  0.178  0.316
Sr  0.046  0.172  0.726
Sr  0.742  0.822  0.684
Al  0.329  0.849  0.484
Al  0.995  0.500  0.500
Al  0.813  0.516  0.849
Al  0.178  0.484  0.151
Al  0.495  0.500  0.500
Al  0.247  0.000  0.000
Al  0.742  0.000  0.000
Al  0.662  0.151  0.516

x:
The following is a DFT calculation (PBEsol) of a relaxed structure of SrAlF5.

Space-group type: P2_1/c, No. 14

Cell: 7.261 8.734 12.579 Å, 103.85 90.00 90.00°
Element x y z (fractional)
F  0.791  0.494  0.000
F  0.290  0.447  0.270
F  0.877  0.697  0.911
F  0.209  0.506  0.000
F  0.170  0.080  0.692
F  0.123  0.303  0.089
F  0.812  0.058  0.678
F  0.709  0.494  0.500
F  0.423  0.865  0.600
F  0.210  0.447  0.770
F  0.470  0.807  0.249
F  0.312  0.942  0.822
F  0.085  0.810  0.561
F  0.030  0.807  0.749
F  0.681  0.337  0.307
F  0.688  0.058  0.178
F  0.710  0.553  0.730
F  0.915  0.190  0.439
F  0.330  0.080  0.192
F  0.670  0.920  0.808
F  0.377  0.303  0.589
F  0.415  0.810  0.061
F  0.489  0.435  0.105
F  0.319  0.663  0.693
F  0.989  0.565  0.395
F  0.011  0.435  0.605
F  0.181  0.663  0.193
F  0.585  0.190  0.939
F  0.819  0.337  0.807
F  0.291  0.506  0.500
F  0.790  0.553  0.230
F  0.923  0.135  0.900
F  0.077  0.865  0.100
F  0.970  0.193  0.251
F  0.830  0.920  0.308
F  0.623  0.697  0.411
F  0.577  0.135  0.400
F  0.511  0.565  0.895
F  0.188  0.942  0.322
F  0.530  0.193  0.751
Sr  0.254  0.234  0.869
Sr  0.282  0.722  0.404
Sr  0.246  0.234  0.369
Sr  0.754  0.766  0.631
Sr  0.718  0.278  0.596
Sr  0.782  0.278  0.096
Sr  0.746  0.766  0.131
Sr  0.218  0.722  0.904
Al  0.280  0.882  0.184
Al  0.260  0.470  0.133
Al  0.760  0.530  0.367
Al  0.780  0.118  0.316
Al  0.220  0.882  0.684
Al  0.740  0.530  0.867
Al  0.240  0.470  0.633
Al  0.720  0.118  0.816

Quick look at relative energies in eV/atom: w 0.000; x 0.074.